A plane-wave DFT calculation with PBE was carried out for an optimized crystal structure of LiHgI2N.

The structure belongs to space group P4/mmm (No. 123); the cell edges are 6.218, 6.218 and 4.233 Å and the angles 90.00°, 90.00° and 90.00°. Symmetry generates all atoms from Li at (0.000, 0.000, 0.000), Hg at (0.500, 0.500, 0.500), I at (0.000, 0.500, 0.500) and N at (0.500, 0.500, 0.000).

Its total magnetic moment is 1.967 μB per cell. The offset from the most stable computed form is 0 meV/atom. The total energy comes out at -2.269 eV per atom. Its formation energy (no corrections) is 44.4 kJ per mole of atoms.